Below is a relaxed structure of ZnBi2Pb8, with properties calculated at the PBE level.

Computed properties:
- Total energy: -3.433 eV per atom

a b c (Å): 6.112 9.317 9.317
angles (deg): 44.25 70.95 70.95
Atoms (fractional coordinates):
Zn: 0.000 0.000 0.000
Bi: 0.559 0.151 0.151
Bi: 0.441 0.849 0.849
Pb: 0.770 0.196 0.665
Pb: 0.230 0.335 0.804
Pb: 0.965 0.248 0.248
Pb: 0.035 0.752 0.752
Pb: 0.770 0.665 0.196
Pb: 0.230 0.804 0.335
Pb: 0.346 0.361 0.361
Pb: 0.654 0.639 0.639

***

Below is a relaxed structure of Er2CdGe, with properties calculated at the PBE level.

Computed properties:
- Total energy: -4.043 eV per atom

a b c (Å): 3.815 3.815 8.683
angles (deg): 77.31 77.31 60.00
Atoms (fractional coordinates):
Ge: 0.000 0.000 0.000
Cd: 0.500 0.500 0.500
Er: 0.739 0.739 0.783
Er: 0.261 0.261 0.217

***

Below is a relaxed structure of YEr3Ru2, with properties calculated at the PBE level.

Computed properties:
- Excess energy over the best structure of this formula in the dataset: 0 meV per atom

a b c (Å): 4.284 7.487 8.798
angles (deg): 90.00 90.00 90.00
Atoms (fractional coordinates):
Y: 0.500 0.520 0.583
Y: 0.500 0.020 0.417
Er: 0.000 0.480 0.917
Er: 0.000 0.980 0.083
Er: 0.500 0.648 0.181
Er: 0.500 0.148 0.819
Er: 0.000 0.352 0.316
Er: 0.000 0.852 0.684
Ru: 0.500 0.757 0.869
Ru: 0.500 0.257 0.131
Ru: 0.000 0.243 0.634
Ru: 0.000 0.743 0.366

***

Below is a relaxed structure of K4Na5Cd2, with properties calculated at the PBE level.

Computed properties:
- Total energy: -1.148 eV per atom

a b c (Å): 4.503 9.362 11.787
angles (deg): 93.72 90.00 90.00
Atoms (fractional coordinates):
K: 0.500 0.752 0.559
K: 0.500 0.163 0.862
K: 0.500 0.248 0.441
K: 0.500 0.837 0.138
Na: 0.000 0.571 0.310
Na: 0.000 0.193 0.165
Na: 0.000 0.500 0.000
Na: 0.000 0.807 0.835
Na: 0.000 0.429 0.690
Cd: 0.000 0.056 0.624
Cd: 0.000 0.944 0.376

***

Below is a relaxed structure of LiTb3H, with properties calculated at the PBE level.

Computed properties:
- Total energy: -3.853 eV per atom

a b c (Å): 4.892 4.892 4.892
angles (deg): 90.00 90.00 90.00
Atoms (fractional coordinates):
H: 0.000 0.000 0.000
Tb: 0.000 0.500 0.000
Tb: 0.000 0.000 0.500
Tb: 0.500 0.000 0.000
Li: 0.500 0.500 0.500

***

Below is a relaxed structure of Ho3Te5H, with properties calculated at the PBE level.

Computed properties:
- Total energy: -4.539 eV per atom

a b c (Å): 8.355 8.355 9.129
angles (deg): 75.73 75.73 73.99
Atoms (fractional coordinates):
Ho: 0.669 0.669 0.837
Ho: 0.739 0.739 0.402
Ho: 0.000 0.000 0.000
Ho: 0.000 0.000 0.500
Ho: 0.331 0.331 0.163
Ho: 0.261 0.261 0.598
Te: 0.987 0.372 0.377
Te: 0.304 0.696 0.000
Te: 0.774 0.774 0.067
Te: 0.503 0.503 0.346
Te: 0.497 0.497 0.654
Te: 0.226 0.226 0.933
Te: 0.372 0.987 0.377
Te: 0.696 0.304 0.000
Te: 0.013 0.628 0.623
Te: 0.628 0.013 0.623
H: 0.070 0.070 0.712
H: 0.930 0.930 0.288

***

Below is a relaxed structure of Ce2Zn3Au, with properties calculated at the PBE level.

Computed properties:
- Excess energy over the best structure of this formula in the dataset: 3 meV per atom

a b c (Å): 3.367 4.662 8.067
angles (deg): 90.00 90.00 90.00
Last column: magnetic moment on the atom in μB.
Atoms (fractional coordinates):
Ce: 0.000 0.500 0.003  0.72
Ce: 0.000 0.000 0.497  0.69
Zn: 0.500 0.000 0.832  0.01
Zn: 0.500 0.000 0.160  0.01
Zn: 0.500 0.500 0.673  0.01
Au: 0.500 0.500 0.335  0.00

***

Below is a relaxed structure of Na3LiAs6, with properties calculated at the PBE level.

Computed properties:
- Total energy: -3.610 eV per atom

a b c (Å): 7.661 7.661 7.661
angles (deg): 97.37 97.37 97.37
Atoms (fractional coordinates):
Na: 0.188 0.750 0.312
Na: 0.312 0.188 0.750
Na: 0.250 0.688 0.812
Na: 0.750 0.312 0.188
Na: 0.688 0.812 0.250
Na: 0.812 0.250 0.688
Li: 0.000 0.000 0.000
Li: 0.500 0.500 0.500
As: 0.910 0.625 0.986
As: 0.014 0.090 0.375
As: 0.125 0.410 0.486
As: 0.375 0.014 0.090
As: 0.410 0.486 0.125
As: 0.514 0.875 0.590
As: 0.486 0.125 0.410
As: 0.590 0.514 0.875
As: 0.625 0.986 0.910
As: 0.875 0.590 0.514
As: 0.986 0.910 0.625
As: 0.090 0.375 0.014

***

Below is a relaxed structure of MnOsRh2, with properties calculated at the PBE level.

Computed properties:
- Excess energy over the best structure of this formula in the dataset: 22 meV per atom

a b c (Å): 3.804 3.800 3.800
angles (deg): 90.00 90.00 90.00
Last column: magnetic moment on the atom in μB.
Atoms (fractional coordinates):
Mn: 0.500 0.500 0.000  2.57
Os: 0.500 0.000 0.500  -0.54
Rh: 0.000 0.000 0.000  -0.17
Rh: 0.000 0.500 0.500  -0.17

***

Below is a relaxed structure of K3Ga3Au2, with properties calculated at the PBE level.

Computed properties:
- Total energy: -2.543 eV per atom

a b c (Å): 6.643 8.755 15.712
angles (deg): 90.00 90.00 90.00
Atoms (fractional coordinates):
K: 0.110 0.468 0.389
K: 0.610 0.032 0.611
K: 0.890 0.532 0.889
K: 0.390 0.968 0.111
K: 0.890 0.532 0.611
K: 0.390 0.968 0.389
K: 0.110 0.468 0.111
K: 0.610 0.032 0.889
K: 0.566 0.298 0.250
K: 0.066 0.202 0.750
K: 0.434 0.702 0.750
K: 0.934 0.798 0.250
Ga: 0.031 0.162 0.250
Ga: 0.531 0.338 0.750
Ga: 0.969 0.838 0.750
Ga: 0.469 0.662 0.250
Ga: 0.622 0.337 0.463
Ga: 0.122 0.163 0.537
Ga: 0.378 0.663 0.963
Ga: 0.878 0.837 0.037
Ga: 0.378 0.663 0.537
Ga: 0.878 0.837 0.463
Ga: 0.622 0.337 0.037
Ga: 0.122 0.163 0.963
Au: 0.879 0.124 0.403
Au: 0.379 0.376 0.597
Au: 0.121 0.876 0.903
Au: 0.621 0.624 0.097
Au: 0.121 0.876 0.597
Au: 0.621 0.624 0.403
Au: 0.879 0.124 0.097
Au: 0.379 0.376 0.903

***

Below is a relaxed structure of Nd2Tm5Th2, with properties calculated at the PBE level.

Computed properties:
- Excess energy over the best structure of this formula in the dataset: 14 meV per atom

a b c (Å): 3.467 8.075 12.780
angles (deg): 119.72 97.80 90.00
Atoms (fractional coordinates):
Nd: 0.823 0.793 0.646
Nd: 0.177 0.207 0.354
Tm: 0.692 0.841 0.384
Tm: 0.308 0.159 0.616
Tm: 0.909 0.544 0.818
Tm: 0.091 0.456 0.182
Tm: 0.000 0.000 0.000
Th: 0.552 0.753 0.103
Th: 0.448 0.247 0.897

***

Below is a relaxed structure of Sc2ReRh, with properties calculated at the PBE level.

Computed properties:
- Total energy: -8.287 eV per atom

a b c (Å): 2.906 2.906 8.644
angles (deg): 90.00 90.00 90.00
Atoms (fractional coordinates):
Re: 0.000 0.000 0.529
Rh: 0.500 0.500 0.725
Sc: 0.000 0.000 0.959
Sc: 0.500 0.500 0.288

***

| no. | calculated volume (A^3/atom) | M_tot (μB/cell) |
| --- | --- | --- |
| 1 | 31.50 | 0.00 |
| 2 | 26.47 | 0.00 |
| 3 | 23.52 | 0.00 |
| 4 | 45.08 | 0.00 |
| 5 | 23.42 | 0.00 |
| 6 | 32.37 | 0.00 |
| 7 | 21.10 | 1.91 |
| 8 | 21.87 | 0.00 |
| 9 | 13.73 | 1.69 |
| 10 | 28.56 | 0.00 |
| 11 | 34.11 | 0.00 |
| 12 | 18.25 | 0.00 |